No. 1
# Ba2SbP

Ba2SbP after structural relaxation (PBE-GGA, Alexandria via LeMat-Bulk).

Lattice parameters (Å, degrees): 5.9576 5.9576 5.9576 125.02 125.02 81.51
Fractional coordinates of all 4 atoms:
Ba  0.7500  0.2500  0.5000
Ba  0.2500  0.7500  0.5000
Sb  0.0000  0.0000  0.0000
P  0.5000  0.5000  0.0000

Values from the calculation:
volume	34.1	A^3/atom
formation energy without anion corrections	-688	meV per atom
E_tot	-4.0328	eV per atom
polymorph energy (0 for the lowest one)	195	meV per atom

---

No. 2
# LiCoIr

LiCoIr after structural relaxation (PBE-GGA, Alexandria via LeMat-Bulk).

Lattice parameters (Å, degrees): 4.7666 4.7666 4.7666 144.32 144.32 51.35
Fractional coordinates of all 3 atoms:
Ir  0.3359  0.3359  0.0000
Co  0.0025  0.0025  0.0000
Li  0.6616  0.6616  0.0000

Values from the calculation:
ΔE_f	0.085	eV per atom
volume	12.2	A^3/atom
E_tot	-5.8750	eV per atom
polymorph energy (0 for the lowest one)	52	meV per atom